! V3OsRh (PBE-GGA, optimized geometry); values from VASP
! Symmetry ... No. 221
! ΔE_f ... 1.144 eV/atom
! Energy above the most stable polymorph in this dataset ... 0.0 kJ per mole of atoms
&SYSTEM
  ibrav = 0, nat = 5, ntyp = 3
/
ATOMIC_SPECIES
V 50.94 V.upf
Os 190.23 Os.upf
Rh 102.91 Rh.upf
ATOMIC_POSITIONS angstrom
V 0.000 0.000 2.260
V 0.000 2.260 0.000
V 2.260 0.000 0.000
Os 0.000 0.000 0.000
Rh 2.260 2.260 2.260
CELL_PARAMETERS angstrom
4.520 0.000 0.000
0.000 4.520 0.000
0.000 0.000 4.520

! Sr2MnVFe (PBE-GGA, optimized geometry); values from VASP
! Symmetry ... No. 123
! ΔE_f ... 1.411 eV/atom
! Energy above the most stable polymorph in this dataset ... 7.4 kJ per mole of atoms
&SYSTEM
  ibrav = 0, nat = 5, ntyp = 4
/
ATOMIC_SPECIES
Sr 87.62 Sr.upf
Mn 54.94 Mn.upf
V 50.94 V.upf
Fe 55.84 Fe.upf
ATOMIC_POSITIONS angstrom
Sr 0.000 2.942 0.000
Sr 2.942 0.000 0.000
Mn 0.000 0.000 0.000
V 0.000 0.000 1.991
Fe 2.942 2.942 1.991
CELL_PARAMETERS angstrom
5.883 0.000 0.000
0.000 5.883 0.000
0.000 0.000 3.982

! TbSm2Dy8 (PBE-GGA, optimized geometry); values from VASP
! Symmetry ... No. 12
! ΔE_f ... 0.017 eV/atom
! Energy above the most stable polymorph in this dataset ... 0.0 kJ per mole of atoms
&SYSTEM
  ibrav = 0, nat = 11, ntyp = 3
/
ATOMIC_SPECIES
Tb 158.93 Tb.upf
Sm 150.36 Sm.upf
Dy 162.50 Dy.upf
ATOMIC_POSITIONS angstrom
Tb 0.000 0.000 0.000
Sm 4.187 0.000 2.789
Sm 11.854 0.000 4.892
Dy 0.684 0.000 3.489
Dy 1.387 0.000 6.978
Dy 4.889 0.000 6.300
Dy 7.682 0.000 2.094
Dy 8.359 0.000 5.587
Dy 11.152 0.000 1.381
Dy 14.653 0.000 0.703
Dy 15.357 0.000 4.192
CELL_PARAMETERS angstrom
9.068 -2.514 0.000
9.068 2.514 0.000
-2.096 0.000 7.681

! NdY2Er (PBE-GGA, optimized geometry); values from VASP
! Symmetry ... No. 166
! ΔE_f ... 0.212 eV/atom
! Energy above the most stable polymorph in this dataset ... 19.3 kJ per mole of atoms
&SYSTEM
  ibrav = 0, nat = 4, ntyp = 3
/
ATOMIC_SPECIES
Nd 144.24 Nd.upf
Y 88.91 Y.upf
Er 167.26 Er.upf
ATOMIC_POSITIONS angstrom
Nd 0.000 0.000 0.000
Y 0.000 0.000 15.439
Y 0.000 0.000 22.092
Er 0.000 0.000 18.765
CELL_PARAMETERS angstrom
1.753 1.012 12.510
-1.753 1.012 12.510
0.000 -2.024 12.510

! PrLu2Pt (PBE-GGA, optimized geometry); values from VASP
! Symmetry ... No. 166
! ΔE_f ... -0.557 eV/atom
! Energy above the most stable polymorph in this dataset ... 10.3 kJ per mole of atoms
&SYSTEM
  ibrav = 0, nat = 4, ntyp = 3
/
ATOMIC_SPECIES
Pr 140.91 Pr.upf
Lu 174.97 Lu.upf
Pt 195.08 Pt.upf
ATOMIC_POSITIONS angstrom
Pr 0.000 0.000 0.000
Lu 0.000 0.000 6.298
Lu 0.000 0.000 21.727
Pt 0.000 0.000 14.012
CELL_PARAMETERS angstrom
1.923 1.110 9.341
-1.923 1.110 9.341
0.000 -2.220 9.341

! Nd3Ga4Co2 (PBE-GGA, optimized geometry); values from VASP
! Symmetry ... No. 12
! ΔE_f ... -0.480 eV/atom
&SYSTEM
  ibrav = 0, nat = 9, ntyp = 3
/
ATOMIC_SPECIES
Nd 144.24 Nd.upf
Ga 69.72 Ga.upf
Co 58.93 Co.upf
ATOMIC_POSITIONS angstrom
Nd 0.000 0.000 0.000
Nd 3.533 0.000 2.432
Nd 5.287 0.000 5.564
Ga 0.440 0.000 3.264
Ga 1.428 0.000 7.284
Ga 7.393 0.000 0.712
Ga 8.380 0.000 4.733
Co 2.174 0.000 4.988
Co 6.646 0.000 3.008
CELL_PARAMETERS angstrom
5.267 -2.206 0.000
5.267 2.206 0.000
-1.713 0.000 7.996

! Zn17Ga2 (PBE-GGA, optimized geometry); values from VASP
! Symmetry ... No. 166
! ΔE_f ... 0.072 eV/atom
&SYSTEM
  ibrav = 0, nat = 19, ntyp = 2
/
ATOMIC_SPECIES
Zn 65.41 Zn.upf
Ga 69.72 Ga.upf
ATOMIC_POSITIONS angstrom
Zn -4.535 0.000 6.575
Zn -1.390 -2.830 4.383
Zn -2.268 1.309 2.192
Zn -3.146 0.212 4.383
Zn 0.000 0.000 1.395
Zn -2.227 -1.286 6.393
Zn 1.390 -2.830 4.383
Zn -1.756 2.619 4.383
Zn 0.000 -2.572 6.756
Zn -2.227 1.286 6.756
Zn 2.268 1.309 2.192
Zn 2.227 -1.286 6.393
Zn 0.000 2.572 6.393
Zn 3.146 0.212 4.383
Zn 1.756 2.619 4.383
Zn 2.227 1.286 6.756
Zn 0.000 0.000 11.754
Ga 0.000 0.000 4.444
Ga 0.000 0.000 8.705
CELL_PARAMETERS angstrom
4.535 2.619 4.383
-4.535 2.619 4.383
0.000 -5.237 4.383

! SrTaAg (PBE-GGA, optimized geometry); values from VASP
! Symmetry ... No. 5
! ΔE_f ... 0.347 eV/atom
! Energy above the most stable polymorph in this dataset ... 11.3 kJ per mole of atoms
&SYSTEM
  ibrav = 0, nat = 6, ntyp = 3
/
ATOMIC_SPECIES
Sr 87.62 Sr.upf
Ta 180.95 Ta.upf
Ag 107.87 Ag.upf
ATOMIC_POSITIONS angstrom
Sr 3.349 0.000 0.025
Sr 15.668 0.000 3.370
Ta 9.508 2.300 1.697
Ta 9.520 -0.069 0.000
Ag 7.243 -0.002 1.682
Ag 11.773 -0.002 1.713
CELL_PARAMETERS angstrom
9.520 -2.328 0.000
9.520 2.328 0.000
-0.024 0.000 3.395

! Dy2ScHg (PBE-GGA, optimized geometry); values from VASP
! Symmetry ... No. 160
! ΔE_f ... -0.130 eV/atom
! Energy above the most stable polymorph in this dataset ... 7.3 kJ per mole of atoms
&SYSTEM
  ibrav = 0, nat = 4, ntyp = 3
/
ATOMIC_SPECIES
Dy 162.50 Dy.upf
Sc 44.96 Sc.upf
Hg 200.59 Hg.upf
ATOMIC_POSITIONS angstrom
Dy 0.000 0.000 0.000
Dy 0.000 0.000 5.314
Sc 0.000 0.000 12.862
Hg 0.000 0.000 17.964
CELL_PARAMETERS angstrom
1.780 1.028 10.207
-1.780 1.028 10.207
0.000 -2.055 10.207

! AuSeBr2 (PBE-GGA, optimized geometry); values from VASP
! Symmetry ... No. 99
! Uncorrected formation energy ... 10.1 kcal/mol of atoms
! Energy above the most stable polymorph in this dataset ... 46.5 kJ per mole of atoms
&SYSTEM
  ibrav = 0, nat = 4, ntyp = 3
/
ATOMIC_SPECIES
Au 196.97 Au.upf
Se 78.96 Se.upf
Br 79.90 Br.upf
ATOMIC_POSITIONS angstrom
Au 0.000 0.000 0.000
Se 1.721 1.721 6.884
Br 0.000 0.000 4.932
Br 1.721 1.721 1.844
CELL_PARAMETERS angstrom
3.442 0.000 0.000
0.000 3.442 0.000
0.000 0.000 8.348

! SmNpTe2O (PBE-GGA, optimized geometry); values from VASP
! Symmetry ... No. 129
! Uncorrected formation energy ... -40.4 kcal/mol of atoms
&SYSTEM
  ibrav = 0, nat = 10, ntyp = 4
/
ATOMIC_SPECIES
Sm 150.36 Sm.upf
Np 237.00 Np.upf
Te 127.60 Te.upf
O 16.00 O.upf
ATOMIC_POSITIONS angstrom
Sm 1.045 1.045 2.132
Sm 3.134 3.134 13.708
Np 1.045 1.045 8.993
Np 3.134 3.134 6.847
Te 1.045 1.045 5.145
Te 1.045 1.045 14.514
Te 3.134 3.134 1.325
Te 3.134 3.134 10.695
O 1.045 3.134 7.920
O 3.134 1.045 7.920
CELL_PARAMETERS angstrom
4.179 0.000 0.000
0.000 4.179 0.000
0.000 0.000 15.840

! PaGeMo2 (PBE-GGA, optimized geometry); values from VASP
! Symmetry ... No. 123
! ΔE_f ... -0.062 eV/atom
! Energy above the most stable polymorph in this dataset ... 0.0 kJ per mole of atoms
&SYSTEM
  ibrav = 0, nat = 4, ntyp = 3
/
ATOMIC_SPECIES
Pa 231.04 Pa.upf
Ge 72.64 Ge.upf
Mo 95.94 Mo.upf
ATOMIC_POSITIONS angstrom
Pa 0.000 0.000 0.000
Ge 2.235 2.235 0.000
Mo 0.000 2.235 1.788
Mo 2.235 0.000 1.788
CELL_PARAMETERS angstrom
4.469 0.000 0.000
0.000 4.469 0.000
0.000 0.000 3.576